Zn2SiAs | PBE | optimized geometry

The structure belongs to space group P4mm (No. 99); the cell edges are 2.705, 2.705 and 9.069 Å and the angles 90.00°, 90.00° and 90.00°. The asymmetric unit holds Zn at (0.000, 0.000, 0.000), Zn at (0.500, 0.500, 0.222), Si at (0.500, 0.500, 0.764) and As at (0.000, 0.000, 0.480).

Its density of states at the Fermi level is 1.127 states/eV/f.u. The size of the total moment is 0.00 μB per atom. The value obtained for the formation energy (no corrections) is 290 meV/atom.